1.
DFT (GGA-PBEsol) results for ZnIn2Hg after structural relaxation.

Cell and atoms, written as CIF:
```
data_ZnIn2Hg
_space_group_name_H-M_alt 'C 1 2/m 1'
_space_group_IT_number 12
_cell_length_a 8.632
_cell_length_b 3.421
_cell_length_c 6.155
_cell_angle_alpha 90.00
_cell_angle_beta 102.52
_cell_angle_gamma 90.00
loop_
_space_group_symop_operation_xyz
'x,y,z'
'-x,-y,-z'
'-x,y,-z'
'x,-y,z'
'x+1/2,y+1/2,z'
'-x+1/2,-y+1/2,-z'
'-x+1/2,y+1/2,-z'
'x+1/2,-y+1/2,z'
loop_
_atom_site_label
_atom_site_fract_x
_atom_site_fract_y
_atom_site_fract_z
Zn1 0.000 0.000 0.000
In1 0.245 0.500 0.231
Hg1 0.000 0.500 0.500
```

VASP energy	-1.9757	eV per atom
M_tot	0.000	μB per cell
DFT formation energy	0.0529	eV/atom
V	22.2	A^3/atom
DOS at the Fermi energy	3.2	states/eV per cell

---

2.
DFT (GGA-PBEsol) results for ZnIn2Hg after structural relaxation.

Cell and atoms, written as CIF:
```
data_ZnIn2Hg
_space_group_name_H-M_alt 'R -3 m'
_space_group_IT_number 166
_space_group_name_Hall '-R 3 2"'
_cell_length_a 3.4589
_cell_length_b 3.4589
_cell_length_c 25.5301
_cell_angle_alpha 90.00
_cell_angle_beta 90.00
_cell_angle_gamma 120.00
loop_
_atom_site_label
_atom_site_fract_x
_atom_site_fract_y
_atom_site_fract_z
Zn1 0.0000 0.0000 0.0000
In1 0.0000 0.0000 0.2551
Hg1 0.0000 0.0000 0.5000
```

VASP energy	-1.9838	eV per atom
M_tot	0.000	μB per cell
DFT formation energy	0.0448	eV/atom
V	22.0	A^3/atom
DOS at the Fermi energy	4.4	states/eV per cell

---

3.
DFT (GGA-PBEsol) results for ZnIn2Hg after structural relaxation.

Cell and atoms, written as CIF:
```
data_ZnIn2Hg
_space_group_name_H-M_alt 'P 1 m 1'
_space_group_IT_number 6
_cell_length_a 3.774
_cell_length_b 4.128
_cell_length_c 6.034
_cell_angle_alpha 90.00
_cell_angle_beta 107.83
_cell_angle_gamma 90.00
loop_
_space_group_symop_operation_xyz
'x,y,z'
'x,-y,z'
loop_
_atom_site_label
_atom_site_fract_x
_atom_site_fract_y
_atom_site_fract_z
Zn1 0.000 0.000 0.000
In1 0.430 0.500 0.862
In2 0.746 0.000 0.507
Hg1 0.152 0.500 0.317
```

VASP energy	-1.9826	eV per atom
M_tot	0.000	μB per cell
DFT formation energy	0.0460	eV/atom
V	22.4	A^3/atom
DOS at the Fermi energy	1.6	states/eV per cell

---

4.
DFT (GGA-PBEsol) results for ZnInHg2 after structural relaxation.

Cell and atoms, written as CIF:
```
data_ZnInHg2
_space_group_name_H-M_alt 'C 1 2/m 1'
_space_group_IT_number 12
_cell_length_a 8.680
_cell_length_b 3.349
_cell_length_c 6.057
_cell_angle_alpha 90.00
_cell_angle_beta 102.58
_cell_angle_gamma 90.00
loop_
_space_group_symop_operation_xyz
'x,y,z'
'-x,-y,-z'
'-x,y,-z'
'x,-y,z'
'x+1/2,y+1/2,z'
'-x+1/2,-y+1/2,-z'
'-x+1/2,y+1/2,-z'
'x+1/2,-y+1/2,z'
loop_
_atom_site_label
_atom_site_fract_x
_atom_site_fract_y
_atom_site_fract_z
Zn1 0.000 0.000 0.000
In1 0.000 0.500 0.500
Hg1 0.241 0.500 0.222
```

VASP energy	-1.3994	eV per atom
M_tot	0.000	μB per cell
DFT formation energy	0.0252	eV/atom
V	21.5	A^3/atom
DOS at the Fermi energy	2.9	states/eV per cell

---

VASP energy of number 4 (ZnInHg2)?
-1.3994 eV per atom

---

What is the V in the third record?
22.4 A^3/atom

---

Which of these has the highest V?
number 3